(1)
Sr3In8Ga3: optimized geometry, GGA-PBE.

Cell and atoms, written as POSCAR:
```
Sr3In8Ga3
1.0
4.860 0.000 0.000
2.430 8.961 -0.360
2.430 2.093 8.721
Sr In Ga
3 8 3
direct
0.500 0.500 0.500
0.818 0.182 0.182
0.182 0.818 0.818
0.638 0.081 0.642
0.362 0.919 0.358
0.638 0.642 0.081
0.362 0.358 0.919
0.845 0.784 0.527
0.155 0.216 0.473
0.845 0.527 0.784
0.155 0.473 0.216
0.500 0.000 0.000
0.000 0.805 0.195
0.000 0.195 0.805
```

(2)
Sr2In3Ga2: optimized geometry, GGA-PBE.

ΔE to the lowest computed polymorph (eV per formula unit): 0.25

Cell and atoms, written as POSCAR:
```
Sr2In3Ga2
1.0
-3.254 0.841 -2.537
0.463 -3.877 -1.880
-7.114 -2.458 8.309
Sr In Ga
2 3 2
direct
0.000 0.841 0.682
0.000 0.159 0.318
0.500 0.571 0.141
0.500 0.429 0.859
0.000 0.000 0.000
0.500 0.719 0.439
0.500 0.281 0.561
```

(3)
Sr3InGa2: optimized geometry, GGA-PBE.

Cell and atoms, written as POSCAR:
```
Sr3InGa2
1.0
7.373 0.000 -3.617
0.000 9.723 0.000
-0.991 0.000 11.393
Sr In Ga
12 4 8
direct
0.314 0.878 0.956
0.186 0.378 0.544
0.686 0.122 0.044
0.814 0.622 0.456
0.388 0.546 0.111
0.112 0.046 0.389
0.612 0.454 0.889
0.888 0.954 0.611
0.949 0.716 0.155
0.551 0.216 0.345
0.051 0.284 0.845
0.449 0.784 0.655
0.412 0.847 0.320
0.088 0.347 0.180
0.588 0.153 0.680
0.912 0.653 0.820
0.700 0.895 0.267
0.800 0.395 0.233
0.300 0.105 0.733
0.200 0.605 0.767
0.361 0.553 0.388
0.139 0.053 0.112
0.639 0.447 0.612
0.861 0.947 0.888
```

(4)
Sr2InGa: optimized geometry, GGA-PBE.

ΔE to the lowest computed polymorph (eV per formula unit): 1.72

Cell and atoms, written as POSCAR:
```
Sr2InGa
1.0
-2.649 -2.608 -1.473
-1.992 -2.436 2.468
-9.767 6.084 1.362
Sr Ga In
2 1 1
direct
0.101 0.101 0.698
0.899 0.899 0.302
0.500 0.500 0.500
0.000 0.000 0.000
```

(5)
Sr2InGa3: optimized geometry, GGA-PBE.

ΔE to the lowest computed polymorph (eV per formula unit): 0.02

Cell and atoms, written as POSCAR:
```
Sr2InGa3
1.0
-5.235 -3.750 1.393
2.732 -2.606 5.399
-1.735 8.943 0.898
Sr In Ga
4 2 6
direct
0.250 0.750 0.500
0.750 0.750 0.000
0.750 0.250 0.500
0.250 0.250 0.000
0.667 0.667 0.333
0.333 0.333 0.667
0.322 0.838 0.161
0.162 0.678 0.839
0.678 0.162 0.839
0.838 0.322 0.161
0.161 0.161 0.322
0.839 0.839 0.678
```

(6)
SrInGa2: optimized geometry, GGA-PBE.

Cell and atoms, written as POSCAR:
```
SrInGa2
1.0
4.456 0.000 0.000
0.000 4.750 0.000
0.000 0.000 4.750
Sr Ga In
1 2 1
direct
0.500 0.500 0.500
0.000 0.000 0.500
0.000 0.500 0.000
0.500 0.000 0.000
```

(7)
SrIn2Ga4: optimized geometry, GGA-PBE.

Cell and atoms, written as POSCAR:
```
SrIn2Ga4
1.0
6.343 0.081 -0.192
-0.142 6.047 -2.107
0.266 -0.302 8.849
Sr Ga In
2 8 4
direct
0.750 0.254 0.000
0.250 0.746 0.000
0.749 0.834 0.153
0.751 0.681 0.847
0.251 0.166 0.847
0.249 0.319 0.153
0.999 0.162 0.320
0.501 0.842 0.680
0.001 0.838 0.680
0.499 0.158 0.320
0.009 0.685 0.355
0.491 0.330 0.645
0.991 0.315 0.645
0.509 0.670 0.355
```

(8)
Sr2In3Ga2: optimized geometry, GGA-PBE.

ΔE to the lowest computed polymorph (eV per formula unit): 0.00

Cell and atoms, written as POSCAR:
```
Sr2In3Ga2
1.0
-2.314 -4.318 -1.031
6.035 -2.312 -3.863
5.171 -2.097 9.332
Sr In Ga
4 6 4
direct
0.163 0.250 0.325
0.837 0.750 0.675
0.950 0.250 0.899
0.050 0.750 0.101
0.221 0.750 0.443
0.779 0.250 0.557
0.563 0.436 0.126
0.437 0.564 0.874
0.437 0.936 0.874
0.563 0.064 0.126
0.684 0.936 0.369
0.316 0.064 0.631
0.316 0.436 0.631
0.684 0.564 0.369
```

(9)
SrIn3Ga: optimized geometry, GGA-PBE.

ΔE to the lowest computed polymorph (eV per formula unit): 0.00

Cell and atoms, written as POSCAR:
```
SrIn3Ga
1.0
4.557 -0.002 1.570
-0.544 4.520 1.573
0.167 0.181 6.881
Sr In Ga
1 3 1
direct
0.405 0.208 0.896
0.646 0.948 0.414
0.145 0.450 0.414
0.794 0.597 0.118
0.018 0.822 0.669
```

(10)
SrIn3Ga: optimized geometry, GGA-PBE.

ΔE to the lowest computed polymorph (eV per formula unit): 0.31

Cell and atoms, written as POSCAR:
```
SrIn3Ga
1.0
4.705 0.000 0.000
0.000 10.445 0.000
0.000 0.000 11.425
Sr In Ga
4 12 4
direct
0.750 0.817 0.993
0.250 0.683 0.493
0.750 0.317 0.507
0.250 0.183 0.007
0.250 0.584 0.100
0.750 0.416 0.900
0.250 0.084 0.400
0.750 0.916 0.600
0.250 0.400 0.719
0.750 0.100 0.219
0.250 0.900 0.781
0.750 0.623 0.706
0.250 0.377 0.294
0.750 0.123 0.794
0.750 0.600 0.281
0.250 0.877 0.206
0.250 0.135 0.643
0.250 0.635 0.857
0.750 0.365 0.143
0.750 0.865 0.357
```

(11)
SrIn4Ga: optimized geometry, GGA-PBE.

ΔE to the lowest computed polymorph (eV per formula unit): 0.53

Cell and atoms, written as POSCAR:
```
SrIn4Ga
1.0
-4.069 2.291 -4.145
0.373 -1.685 -6.001
-4.362 -3.719 -2.476
Sr Ga In
1 1 4
direct
0.250 0.250 0.250
0.000 0.000 0.000
0.625 0.625 0.124
0.625 0.124 0.625
0.625 0.625 0.625
0.124 0.625 0.625
```

(12)
SrInGa2: optimized geometry, GGA-PBE.

Cell and atoms, written as POSCAR:
```
SrInGa2
1.0
-3.210 0.045 1.663
-0.056 -5.502 0.041
2.487 1.160 4.769
Sr In Ga
1 1 2
direct
0.000 0.999 0.001
0.500 0.391 0.609
0.500 0.875 0.485
0.500 0.515 0.125
```

We obtain calculated formation energy values of -0.30, -0.30, -0.33, 0.03, -0.46, -0.23, -0.23, -0.33, -0.30, -0.24, -0.13, -0.21 eV/atom for the records listed above, in that order.